Record 1
Zn4TeMo: optimized geometry, PBE-GGA.

Structure (POSCAR):
```
Zn4TeMo
1.0
0.000 3.648 3.648
3.648 0.000 3.648
3.648 3.648 0.000
Zn Te Mo
4 1 1
Direct
0.869 0.377 0.377 Zn
0.377 0.377 0.869 Zn
0.377 0.869 0.377 Zn
0.377 0.377 0.377 Zn
0.000 0.000 0.000 Te
0.750 0.750 0.750 Mo
```

Values from the calculation:
Raw total energy = -2.8925 eV/atom
V = 97 Å³ per cell
DOS at the Fermi energy = 4.25 states/eV/cell



Record 2
LaTbNd: optimized geometry, PBE-GGA.

Structure (POSCAR):
```
LaTbNd
1.0
-1.720 -0.957 -3.106
-3.006 -0.867 1.932
-0.239 8.166 -0.207
Tb Nd La
1 1 1
Direct
0.665 0.665 0.331 Tb
0.003 0.003 0.006 Nd
0.332 0.332 0.663 La
```

Values from the calculation:
Raw total energy = -4.7504 eV/atom
Offset from the most stable computed form = 0.02 eV per formula unit
Formation energy = 0.1 eV per formula unit
V = 105 Å³ per cell
DOS at the Fermi energy = 5.22 states/eV/cell



Record 3
Y2AsCBr: optimized geometry, PBE-GGA.

Structure (POSCAR):
```
Y2AsCBr
1.0
5.000 0.000 0.000
0.000 5.000 0.000
0.000 0.000 4.364
Y As C Br
2 1 1 1
Direct
0.000 0.500 0.000 Y
0.500 0.000 0.000 Y
0.500 0.500 0.500 As
0.000 0.000 0.000 C
0.000 0.000 0.500 Br
```

Values from the calculation:
Raw total energy = -5.9264 eV/atom
V = 109 Å³ per cell
DOS at the Fermi energy = 0.58 states/eV/cell



Record 4
BiBr3F: optimized geometry, PBE-GGA.

Structure (POSCAR):
```
BiBr3F
1.0
-3.379 4.360 -3.725
-2.546 -5.346 -3.038
-2.661 -0.564 8.463
Bi Br F
2 6 2
Direct
0.684 0.793 0.476 Bi
0.316 0.207 0.524 Bi
0.841 0.072 0.306 Br
0.233 0.465 0.306 Br
0.767 0.535 0.694 Br
0.652 0.438 0.090 Br
0.159 0.928 0.694 Br
0.348 0.562 0.910 Br
0.633 0.033 0.666 F
0.367 0.967 0.334 F
```

Values from the calculation:
Raw total energy = -3.1003 eV/atom
Offset from the most stable computed form = 0.00 eV per formula unit
V = 336 Å³ per cell
DOS at the Fermi energy = 0.00 states/eV/cell



Which formula does entry 3 have?
Y2AsCBr



DOS at the Fermi energy of number 3 (Y2AsCBr)?
0.58 states/eV/cell



Which value of V does entry 3 give?
109 Å³ per cell